No. 1
A plane-wave DFT calculation with PBE-GGA was carried out for CdCo2P after structural relaxation.

Calculated values
* E_tot: -5.27 eV/atom
* calculated volume: 58.1 Å³/f.u.
* density of states at the Fermi level: 0.517 states/eV per atom
* ΔH_f (0 K): -0.1338 eV/atom
* energy above the most stable polymorph in this dataset: 0.005 eV/atom

Lattice parameters (Å, degrees): 3.4618 3.4618 5.9468 106.80 106.80 59.95
Last column: nearest neighbours and their distance in Å.
Element x y z (fractional)
Cd1 0.0000 0.0000 0.0000  6 Co 2.79-2.80
Co1 0.2164 0.2164 0.6505  3 P 2.17
Co2 0.7836 0.7836 0.3495  3 P 2.17
P1 0.5000 0.5000 0.5000  6 Co 2.17

***

No. 2
A plane-wave DFT calculation with PBE-GGA was carried out for NpSbTe after structural relaxation.

Calculated values
* E_tot: -6.80 eV/atom
* calculated volume: 96.7 Å³/f.u.
* density of states at the Fermi level: 1.358 states/eV per atom
* formation energy without anion corrections: -0.065 eV per atom

Lattice parameters (Å, degrees): 5.2575 5.2575 8.0760 90.00 90.00 120.00
Last column: nearest neighbours and their distance in Å.
Element x y z (fractional)
Np1 0.0000 0.0000 0.1438  1 Np 2.32
Np2 0.0000 0.0000 0.8562  1 Np 2.32
Sb1 0.3333 0.6667 0.9571  1 Te 2.93, 3 Sb 3.11, 3 Np 3.14
Sb2 0.6667 0.3333 0.0429  1 Te 2.93, 3 Sb 3.11, 3 Np 3.14
Te1 0.3333 0.6667 0.3203  1 Sb 2.93
Te2 0.6667 0.3333 0.6797  1 Sb 2.93

***

No. 3
A plane-wave DFT calculation with PBE-GGA was carried out for Sm5DyYTm2 after structural relaxation.

Calculated values
* E_tot: -4.69 eV/atom
* calculated volume: 301.2 Å³/f.u.
* density of states at the Fermi level: 1.657 states/eV per atom
* ΔH_f (0 K): 0.1562 eV/atom

Lattice parameters (Å, degrees): 10.5012 10.5012 10.5925 90.00 90.00 148.96
Last column: nearest neighbours and their distance in Å.
Element x y z (fractional)
Sm1 0.0161 0.9839 0.5000  2 Y 3.25, 3 Tm 3.42-3.56
Sm2 0.2791 0.7209 0.7929  1 Y 3.06, 1 Tm 3.34, 2 Sm 3.41
Sm3 0.2990 0.7010 0.1892  4 Sm 3.41-3.78, 1 Y 3.47, 3 Tm 3.49-3.79, 3 Dy 3.50-3.80
Sm4 0.3871 0.6129 0.5038  6 Sm 3.53-3.83, 4 Tm 3.59-3.62, 1 Dy 3.81
Sm5 0.4808 0.5192 0.2223  2 Y 3.19-3.34, 2 Tm 3.48, 2 Sm 3.53-3.54
Sm6 0.5192 0.4808 0.7223  2 Y 3.19-3.34, 2 Tm 3.48, 2 Sm 3.53-3.54
Sm7 0.6129 0.3871 0.0038  6 Sm 3.53-3.83, 4 Tm 3.59-3.62, 1 Dy 3.81
Sm8 0.7010 0.2990 0.6892  4 Sm 3.41-3.78, 1 Y 3.47, 3 Tm 3.49-3.79, 3 Dy 3.50-3.80
Sm9 0.7209 0.2791 0.2929  1 Y 3.06, 1 Tm 3.34, 2 Sm 3.41
Sm10 0.9839 0.0161 0.0000  2 Y 3.25, 3 Tm 3.42-3.56
Dy1 0.1988 0.8012 0.4930  2 Tm 3.39-3.61, 6 Sm 3.50-3.70, 2 Y 3.61
Dy2 0.8012 0.1988 0.9930  2 Tm 3.39-3.61, 6 Sm 3.50-3.70, 2 Y 3.61
Y1 0.4096 0.5904 0.9382  5 Sm 3.06-3.34
Y2 0.5904 0.4096 0.4382  5 Sm 3.06-3.34
Tm1 0.1122 0.8878 0.2187  1 Dy 3.39, 7 Sm 3.48-3.79, 2 Y 3.67
Tm2 0.1139 0.8861 0.7932  9 Sm 3.34-3.68, 1 Dy 3.61
Tm3 0.8861 0.1139 0.2932  9 Sm 3.34-3.68, 1 Dy 3.61
Tm4 0.8878 0.1122 0.7187  1 Dy 3.39, 7 Sm 3.48-3.79, 2 Y 3.67

***

No. 4
A plane-wave DFT calculation with PBE-GGA was carried out for TmPN2 after structural relaxation.

Calculated values
* E_tot: -6.48 eV/atom
* calculated volume: 47.4 Å³/f.u.
* density of states at the Fermi level: 0.374 states/eV per atom
* formation energy without anion corrections: 0.150 eV per atom
* energy above the most stable polymorph in this dataset: 1.013 eV/atom

Lattice parameters (Å, degrees): 6.7473 6.7473 6.7473 24.76 24.76 24.76
Last column: nearest neighbours and their distance in Å.
Element x y z (fractional)
Tm1 0.0000 0.0000 0.0000  2 N 2.33
P1 0.5000 0.5000 0.5000  6 N 1.92
N1 0.1187 0.1187 0.1187  3 P 1.92
N2 0.8813 0.8813 0.8813  3 P 1.92

***

No. 5
A plane-wave DFT calculation with PBE-GGA was carried out for Li2PmHgAu2 after structural relaxation.

Calculated values
* E_tot: -3.13 eV/atom
* calculated volume: 121.9 Å³/f.u.
* density of states at the Fermi level: 0.652 states/eV per atom
* ΔH_f (0 K): -0.5582 eV/atom

Lattice parameters (Å, degrees): 4.6011 4.6011 6.6470 90.00 90.00 120.00
Last column: nearest neighbours and their distance in Å.
Element x y z (fractional)
Li1 0.3333 0.6667 0.1558  4 Au 2.72-2.74, 3 Hg 2.85
Li2 0.6667 0.3333 0.8442  4 Au 2.72-2.74, 3 Hg 2.85
Pm1 0.0000 0.0000 0.5000  6 Au 3.12, 2 Hg 3.32
Hg1 0.0000 0.0000 0.0000  6 Li 2.85, 6 Au 3.15
Au1 0.3333 0.6667 0.7459  4 Li 2.72-2.74
Au2 0.6667 0.3333 0.2541  4 Li 2.72-2.74

***

No. 6
A plane-wave DFT calculation with PBE-GGA was carried out for Pm3AlAg3 after structural relaxation.

Calculated values
* E_tot: -4.06 eV/atom
* calculated volume: 177.8 Å³/f.u.
* density of states at the Fermi level: 0.923 states/eV per atom
* ΔH_f (0 K): -0.2711 eV/atom
* energy above the most stable polymorph in this dataset: 0.000 eV/atom

Lattice parameters (Å, degrees): 5.8922 5.8922 15.9045 106.67 106.67 42.60
Last column: nearest neighbours and their distance in Å.
Element x y z (fractional)
Pm1 0.0200 0.0200 0.3852  3 Al 3.14-3.18, 7 Ag 3.18-3.47
Pm2 0.1023 0.1023 0.9204  7 Ag 3.11-3.26
Pm3 0.2475 0.2475 0.2342  5 Ag 3.12-3.28, 2 Al 3.26
Pm4 0.7525 0.7525 0.7658  5 Ag 3.12-3.28, 2 Al 3.26
Pm5 0.8977 0.8977 0.0796  7 Ag 3.11-3.26
Pm6 0.9800 0.9800 0.6148  3 Al 3.14-3.18, 7 Ag 3.18-3.47
Al1 0.2659 0.2659 0.6140  4 Ag 2.62-2.80
Al2 0.7341 0.7341 0.3860  4 Ag 2.62-2.80
Ag1 0.3522 0.3522 0.4655  3 Al 2.62-2.80
Ag2 0.3867 0.3867 0.9230  2 Ag 2.89-2.91, 3 Pm 3.11-3.20
Ag3 0.4686 0.4686 0.7667  1 Al 2.74, 1 Ag 2.89
Ag4 0.5314 0.5314 0.2333  1 Al 2.74, 1 Ag 2.89
Ag5 0.6133 0.6133 0.0770  2 Ag 2.89-2.91, 3 Pm 3.11-3.20
Ag6 0.6478 0.6478 0.5345  3 Al 2.62-2.80

***

No. 7
A plane-wave DFT calculation with PBE-GGA was carried out for ZrBe2Nb after structural relaxation.

Calculated values
* E_tot: -6.51 eV/atom
* calculated volume: 58.7 Å³/f.u.
* density of states at the Fermi level: 1.523 states/eV per atom
* ΔH_f (0 K): 0.0093 eV/atom
* energy above the most stable polymorph in this dataset: 0.048 eV/atom

Lattice parameters (Å, degrees): 4.3633 4.3633 4.3633 60.00 60.00 60.00
Last column: nearest neighbours and their distance in Å.
Element x y z (fractional)
Zr1 0.0000 0.0000 0.0000  8 Be 2.67
Be1 0.2500 0.2500 0.2500  4 Nb 2.67, 4 Zr 2.67
Be2 0.7500 0.7500 0.7500  4 Nb 2.67, 4 Zr 2.67
Nb1 0.5000 0.5000 0.5000  8 Be 2.67

***

No. 8
A plane-wave DFT calculation with PBE-GGA was carried out for SrCd4Hg3 after structural relaxation.

Calculated values
* E_tot: -0.95 eV/atom
* calculated volume: 216.9 Å³/f.u.
* density of states at the Fermi level: 0.459 states/eV per atom
* ΔH_f (0 K): -0.1724 eV/atom

Lattice parameters (Å, degrees): 4.6202 4.6202 10.1593 90.00 90.00 90.00
Last column: nearest neighbours and their distance in Å.
Element x y z (fractional)
Sr1 0.0000 0.0000 0.0000  8 Hg 3.56, 8 Cd 3.98
Cd1 0.0000 0.5000 0.3186  4 Hg 2.94-2.96, 4 Cd 3.27
Cd2 0.0000 0.5000 0.6814  4 Hg 2.94-2.96, 4 Cd 3.27
Cd3 0.5000 0.0000 0.3186  4 Hg 2.94-2.96, 4 Cd 3.27
Cd4 0.5000 0.0000 0.6814  4 Hg 2.94-2.96, 4 Cd 3.27
Hg1 0.0000 0.0000 0.5000  8 Cd 2.96
Hg2 0.5000 0.5000 0.1402  1 Hg 2.85, 4 Cd 2.94
Hg3 0.5000 0.5000 0.8598  1 Hg 2.85, 4 Cd 2.94

***

No. 9
A plane-wave DFT calculation with PBE-GGA was carried out for VZnIrRh after structural relaxation.

Calculated values
* E_tot: -7.07 eV/atom
* calculated volume: 55.7 Å³/f.u.
* density of states at the Fermi level: 0.708 states/eV per atom
* ΔH_f (0 K): -0.4205 eV/atom

Lattice parameters (Å, degrees): 2.8727 2.8727 6.7556 90.00 90.00 90.00
Last column: nearest neighbours and their distance in Å.
Element x y z (fractional)
V1 0.0000 0.0000 0.0000  4 Ir 2.60, 4 Rh 2.62, 4 V 2.87
Zn1 0.0000 0.0000 0.4981  4 Rh 2.66, 4 Ir 2.70, 4 Zn 2.87
Ir1 0.5000 0.5000 0.7603  4 V 2.60, 4 Zn 2.70, 4 Ir 2.87
Rh1 0.5000 0.5000 0.2443  4 V 2.62, 4 Zn 2.66, 4 Rh 2.87

***

No. 10
A plane-wave DFT calculation with PBE-GGA was carried out for PmTh5C4 after structural relaxation.

Calculated values
* E_tot: -8.10 eV/atom
* calculated volume: 222.8 Å³/f.u.
* density of states at the Fermi level: 0.587 states/eV per atom
* ΔH_f (0 K): -0.2279 eV/atom

Lattice parameters (Å, degrees): 8.3141 8.3141 7.6060 102.60 102.60 25.77
Last column: nearest neighbours and their distance in Å.
Element x y z (fractional)
Pm1 0.0000 0.0000 0.0000  6 C 2.70-2.71
Th1 0.0000 0.0000 0.5000  4 C 2.60
Th2 0.3374 0.3374 0.1555  4 C 2.58-2.65
Th3 0.3395 0.3395 0.6918  3 C 2.47-2.55
Th4 0.6605 0.6605 0.3082  3 C 2.47-2.55
Th5 0.6626 0.6626 0.8445  4 C 2.58-2.65
C1 0.1709 0.1709 0.0837  5 Th 2.55-2.63, 1 Pm 2.70
C2 0.4952 0.4952 0.7371  4 Th 2.47-2.65, 2 Pm 2.71
C3 0.5048 0.5048 0.2629  4 Th 2.47-2.65, 2 Pm 2.71
C4 0.8291 0.8291 0.9163  5 Th 2.55-2.63, 1 Pm 2.70

***

No. 11
A plane-wave DFT calculation with PBE-GGA was carried out for TbMnBe17 after structural relaxation.

Calculated values
* E_tot: -4.12 eV/atom
* calculated volume: 178.3 Å³/f.u.
* density of states at the Fermi level: 0.216 states/eV per atom
* ΔH_f (0 K): -0.0612 eV/atom

Lattice parameters (Å, degrees): 5.6662 5.6662 5.6662 83.18 83.18 83.18
Last column: nearest neighbours and their distance in Å.
Element x y z (fractional)
Tb1 0.0000 0.0000 0.0000  19 Be 2.72-2.87
Mn1 0.3300 0.3300 0.3300  13 Be 2.47-2.76
Be1 0.0059 0.0059 0.4965  9 Be 2.18-2.40
Be2 0.0059 0.4965 0.0059  9 Be 2.18-2.40
Be3 0.1547 0.6610 0.6610  10 Be 2.12-2.31
Be4 0.3185 0.3185 0.7992  9 Be 2.15-2.30
Be5 0.3185 0.7992 0.3185  9 Be 2.15-2.30
Be6 0.3705 0.6513 0.9521  8 Be 2.11-2.31
Be7 0.3705 0.9521 0.6513  8 Be 2.11-2.31
Be8 0.4965 0.0059 0.0059  9 Be 2.18-2.40
Be9 0.5561 0.5561 0.5561  7 Be 2.13-2.31
Be10 0.6513 0.3705 0.9521  8 Be 2.11-2.31
Be11 0.6513 0.9521 0.3705  8 Be 2.11-2.31
Be12 0.6610 0.1547 0.6610  10 Be 2.12-2.31
Be13 0.6610 0.6610 0.1547  10 Be 2.12-2.31
Be14 0.7510 0.7510 0.7510  4 Be 2.13-2.29
Be15 0.7992 0.3185 0.3185  9 Be 2.15-2.30
Be16 0.9521 0.3705 0.6513  8 Be 2.11-2.31
Be17 0.9521 0.6513 0.3705  8 Be 2.11-2.31